First-principles (GGA-PBE) data for a relaxed structure of Th3CdFe, as listed in the Alexandria database.

E = -63.14 eV/cell
DOS at the Fermi energy = 0.98 states/eV per atom
space-group type = No. 59
ΔE_f = 0.0130 eV per atom
ΔE to the lowest computed polymorph = 0.0770 eV/atom

```
Th3CdFe
1.0
-0.530 2.293 4.366
-6.164 2.567 -2.097
-3.656 -6.398 2.916
Cd Th Fe
2 6 2
Cartesian
-7.797 -2.825 1.945
-2.553 1.287 3.240
-8.968 0.075 3.098
-5.327 3.109 1.946
-4.463 -0.330 1.040
-5.887 -1.208 4.146
-5.023 -4.647 3.239
-1.383 -1.613 2.088
-6.503 1.051 2.884
-3.847 -2.589 2.301
```